1.
# ScFeNi2C (PBEsol, relaxed)
data_ScFeNi2C
_cell_length_a 3.8189
_cell_length_b 3.8189
_cell_length_c 3.7432
_cell_angle_alpha 90.00
_cell_angle_beta 90.00
_cell_angle_gamma 90.00
_symmetry_space_group_name_H-M 'P 4/m m m'
_symmetry_Int_Tables_number 123
_symmetry_space_group_name_Hall '-P 4 2'
loop_
_atom_site_label
_atom_site_fract_x
_atom_site_fract_y
_atom_site_fract_z
Sc1 0.0000 0.0000 0.0000
Fe1 0.5000 0.5000 0.0000
Ni1 0.0000 0.5000 0.5000
C1 0.5000 0.5000 0.5000
# Uncorrected energy in eV per atom: -7.81
# Density of states at the Fermi level in states/eV/f.u.: 2.619
# DFT formation energy in eV/atom: -0.30
# Density in g cm⁻³: 7.002



2.
# Co8Ru (PBEsol, relaxed)
data_Co8Ru
_cell_length_a 7.4240
_cell_length_b 7.4240
_cell_length_c 3.4919
_cell_angle_alpha 90.00
_cell_angle_beta 90.00
_cell_angle_gamma 90.00
_symmetry_space_group_name_H-M 'I 4/m m m'
_symmetry_Int_Tables_number 139
_symmetry_space_group_name_Hall '-I 4 2'
loop_
_atom_site_label
_atom_site_fract_x
_atom_site_fract_y
_atom_site_fract_z
Co1 0.0000 0.3371 0.0000
Co2 0.1704 0.1704 0.5000
Ru1 0.0000 0.0000 0.0000
# Uncorrected energy in eV per atom: -7.90
# Density of states at the Fermi level in states/eV/f.u.: 14.549
# DFT formation energy in eV/atom: 0.10
# Density in g cm⁻³: 9.880